Run 1
{
  "formula": "Ba2LaAg",
  "functional": "PBE",
  "state": "relaxed",
  "lattice": [[4.0289, 0.0000, 0.0000], [0.0000, 4.0289, 0.0000], [0.0000, 0.0000, 10.2431]],
  "species": ["Ba", "Ba", "Ag", "La"],
  "frac_coords": [[0.0000, 0.0000, 0.5490], [0.0000, 0.0000, 0.9510], [0.5000, 0.5000, 0.7500], [0.5000, 0.5000, 0.2500]],
  "sg": "No. 123"
}

---

Run 2
{
  "formula": "Ba2LaAg",
  "functional": "PBE",
  "state": "relaxed",
  "lattice": [[-1.4769, 0.0052, -4.0477], [5.1641, -1.3087, -1.8859], [1.0070, -7.6853, -0.3773]],
  "species": ["Ba", "Ba", "La", "Ag"],
  "frac_coords": [[0.5000, 0.2968, 0.2816], [0.0000, 0.9895, 0.8958], [0.0000, 0.6823, 0.5109], [0.5000, 0.5315, 0.8117]],
  "sg": "No. 38"
}

---

Short version: run 1 is the most stable of them.

---

Run 1
{
  "formula": "RbBaLaAg2",
  "functional": "PBE",
  "state": "relaxed",
  "lattice": [[-5.5746, 0.1602, 1.8184], [0.6573, -5.2751, 2.4798], [1.8066, 2.7161, 5.2990]],
  "species": ["Rb", "Ag", "Ag", "La", "Ba"],
  "frac_coords": [[0.0000, 0.0000, 0.5000], [0.5000, 0.0000, 0.0000], [0.0000, 0.5000, 0.0000], [0.5000, 0.5000, 0.5000], [0.0000, 0.0000, 0.0000]],
  "sg": "No. 123"
}

---

Run 2
{
  "formula": "RbBaLaAg2",
  "functional": "PBE",
  "state": "relaxed",
  "lattice": [[5.6677, 0.0000, 0.0000], [0.0000, 6.0296, 0.0000], [0.0000, 0.0000, 5.6677]],
  "species": ["Ag", "Ag", "La", "Rb", "Ba"],
  "frac_coords": [[0.0000, 0.0000, 0.5000], [0.5000, 0.0000, 0.0000], [0.5000, 0.5000, 0.5000], [0.0000, 0.0000, 0.0000], [0.0000, 0.5000, 0.0000]],
  "sg": "No. 123"
}

---

Short version: run 1 is the most stable of them.